Entry 1:
First-principles (PBE-GGA) data for a relaxed structure of LuInCoPt, as listed in OQMD via LeMat-Bulk. Values from VASP.

Output
polymorph energy (0 for the lowest one) = 30.1 kJ/mol of atoms
space-group type = F-43m, No. 216

The structure in Quantum ESPRESSO input format:
```
&SYSTEM
  ibrav = 0, nat = 4, ntyp = 4
/
ATOMIC_SPECIES
Pt 195.08 Pt.upf
Lu 174.97 Lu.upf
Co 58.93 Co.upf
In 114.82 In.upf
CELL_PARAMETERS angstrom
-3.4995 -3.0479 0.5125
-4.2750 1.5180 1.1042
-3.4282 -0.1721 -3.1649
ATOMIC_POSITIONS crystal
Pt 0.5000 0.5000 0.5000
Lu 0.2500 0.2500 0.2500
Co 0.7500 0.7500 0.7500
In 0.0000 0.0000 0.0000
```

---

Entry 2:
First-principles (PBE-GGA) data for a relaxed structure of PrHo2Hg5, as listed in OQMD via LeMat-Bulk. Values from VASP.

Output
calculated formation energy = -10.27 kcal/mol of atoms
space-group type = I4/mmm, No. 139

The structure in Quantum ESPRESSO input format:
```
&SYSTEM
  ibrav = 0, nat = 8, ntyp = 3
/
ATOMIC_SPECIES
Hg 200.59 Hg.upf
Pr 140.91 Pr.upf
Ho 164.93 Ho.upf
CELL_PARAMETERS angstrom
-2.6191 2.6191 7.3298
2.6191 -2.6191 7.3298
2.6191 2.6191 -7.3298
ATOMIC_POSITIONS crystal
Hg 0.5000 0.5000 0.0000
Hg 0.3701 0.8701 0.5000
Hg 0.1299 0.6299 0.5000
Pr 0.0000 0.0000 0.0000
Ho 0.7330 0.7330 0.0000
Hg 0.8701 0.3701 0.5000
Hg 0.6299 0.1299 0.5000
Ho 0.2670 0.2670 0.0000
```